Entry 1:
## SmBiH (PBE-GGA)

Data for a relaxed structure of SmBiH.

Computed properties:
Energy above the most stable polymorph in this dataset in eV per atom: 0.000
Magnetization in μB/cell: 0.000
Energy in eV per atom: -4.63

Cell: 3.8947 3.8947 4.9084 Å, 90.00 90.00 120.00°
Atoms (fractional coordinates):
Sm 0.0000 0.0000 0.0000
Bi 0.6667 0.3333 0.5000
H 0.3333 0.6667 0.0000

---

Entry 2:
## AlW2Se (PBE-GGA)

Data for a relaxed structure of AlW2Se.

Computed properties:
Energy above the most stable polymorph in this dataset in eV per atom: 0.227
Magnetization in μB/cell: 0.000
Energy in eV per atom: -7.93
Formation energy without anion corrections in meV/atom: 349.1

Cell: 8.7454 8.7454 8.7454 Å, 19.38 19.38 19.38°
Atoms (fractional coordinates):
Al 0.0000 0.0000 0.0000
W 0.2455 0.2455 0.2455
W 0.7545 0.7545 0.7545
Se 0.5000 0.5000 0.5000

---

Entry 3:
## LiZnBr (PBE-GGA)

Data for a relaxed structure of LiZnBr.

Computed properties:
Energy above the most stable polymorph in this dataset in eV per atom: 0.002
Magnetization in μB/cell: 0.000
Energy in eV per atom: -2.25
Formation energy without anion corrections in meV/atom: -631.3

Cell: 3.9732 3.9732 5.9815 Å, 90.00 90.00 120.00°
Atoms (fractional coordinates):
Li 0.0000 0.0000 0.0000
Zn 0.6667 0.3333 0.3956
Br 0.3333 0.6667 0.8393

---

Entry 4:
## GaBi2Au2 (PBE-GGA)

Data for a relaxed structure of GaBi2Au2.

Computed properties:
DFT formation energy in eV/atom: 0.06
Energy above the most stable polymorph in this dataset in eV per atom: 0.130
Magnetization in μB/cell: 0.000
Energy in eV per atom: -3.40

Cell: 8.8034 8.8034 8.8034 Å, 154.47 154.47 36.41°
Atoms (fractional coordinates):
Ga 0.0000 0.0000 0.0000
Bi 0.3934 0.3934 0.0000
Bi 0.6066 0.6066 0.0000
Au 0.2500 0.7500 0.5000
Au 0.7500 0.2500 0.5000

---

Entry 5:
## Pm3Y4Ag (PBE-GGA)

Data for a relaxed structure of Pm3Y4Ag.

Computed properties:
DFT formation energy in eV/atom: -0.06
Magnetization in μB/cell: 0.000
Energy in eV per atom: -5.43

Cell: 3.6060 3.6060 19.1827 Å, 90.00 90.00 90.00°
Atoms (fractional coordinates):
Pm 0.0000 0.0000 0.0000
Pm 0.0000 0.0000 0.2672
Pm 0.0000 0.0000 0.7328
Y 0.5000 0.5000 0.1338
Y 0.5000 0.5000 0.4024
Y 0.5000 0.5000 0.5976
Y 0.5000 0.5000 0.8662
Ag 0.0000 0.0000 0.5000

---

Entry 6:
## Ti2ReGeBi (PBE-GGA)

Data for a relaxed structure of Ti2ReGeBi.

Computed properties:
DFT formation energy in eV/atom: 0.65
Magnetization in μB/cell: 0.862
Energy in eV per atom: -6.69

Cell: 4.7629 4.7629 4.6377 Å, 90.00 90.00 90.00°
Atoms (fractional coordinates):
Ti 0.0000 0.5000 0.0000
Ti 0.5000 0.0000 0.0000
Re 0.0000 0.0000 0.5000
Ge 0.0000 0.0000 0.0000
Bi 0.5000 0.5000 0.5000

---

Entry 7:
## RbNb2Al (PBE-GGA)

Data for a relaxed structure of RbNb2Al.

Computed properties:
DFT formation energy in eV/atom: 1.32
Magnetization in μB/cell: 0.000
Energy in eV per atom: -4.89

Cell: 10.8575 10.8575 10.8575 Å, 153.75 153.75 37.46°
Atoms (fractional coordinates):
Rb 0.3750 0.6250 0.7500
Rb 0.6250 0.3750 0.2500
Nb 0.0000 0.0000 0.0000
Nb 0.0000 0.0000 0.5000
Nb 0.0000 0.5000 0.0000
Nb 0.5000 0.0000 0.5000
Al 0.1250 0.8750 0.2500
Al 0.8750 0.1250 0.7500

---

Entry 8:
## Ti4ZnBi2 (PBE-GGA)

Data for a relaxed structure of Ti4ZnBi2.

Computed properties:
DFT formation energy in eV/atom: 0.29
Magnetization in μB/cell: 0.000
Energy in eV per atom: -5.52

Cell: 8.0556 8.0556 8.0556 Å, 146.97 146.97 47.40°
Atoms (fractional coordinates):
Ti 0.0000 0.5000 0.5000
Ti 0.1654 0.1654 0.0000
Ti 0.5000 0.0000 0.5000
Ti 0.8346 0.8346 0.0000
Zn 0.0000 0.0000 0.0000
Bi 0.3591 0.3591 0.0000
Bi 0.6409 0.6409 0.0000